No. 1
Here is a relaxed structure of Ba2In2O5 from Alexandria via LeMat-Bulk. Energies are from PBE.

Lattice parameters (Å, degrees): 5.8755 5.8755 6.2976 117.81 117.81 90.00
Atoms (fractional coordinates):
Ba 0.2528 0.7537 0.5038
Ba 0.7529 0.2537 0.5038
In 0.0310 0.0319 0.0602
In 0.4747 0.4756 0.9474
O 0.7961 0.3517 0.1450
O 0.2527 0.2535 0.5038
O 0.7096 0.7104 0.8626
O 0.3508 0.7969 0.1449
O 0.1550 0.1558 0.8628

Properties
Formation energy from raw total energies = -1.98 eV per atom


No. 2
Here is a relaxed structure of Ba2In2O5 from Alexandria via LeMat-Bulk. Energies are from PBE.

Lattice parameters (Å, degrees): 4.1696 4.3210 8.7339 90.00 90.00 90.00
Atoms (fractional coordinates):
Ba 0.0000 0.9944 0.7181
Ba 0.0000 0.9944 0.2819
In 0.5000 0.4839 0.5000
In 0.5000 0.5637 0.0000
O 0.5000 0.4319 0.7732
O 0.5000 0.4319 0.2268
O 0.5000 0.9839 0.5000
O 0.0000 0.5016 0.5000
O 0.0000 0.7585 0.0000

Properties
Formation energy from raw total energies = -1.98 eV per atom


No. 3
Here is a relaxed structure of Ba2In2O5 from Alexandria via LeMat-Bulk. Energies are from PBE.

Lattice parameters (Å, degrees): 9.4970 9.4970 9.4970 142.78 141.65 54.51
Atoms (fractional coordinates):
Ba 0.6266 0.0898 0.4981
Ba 0.3734 0.8715 0.4632
Ba 0.0917 0.5898 0.4632
Ba 0.9083 0.3715 0.4981
In 0.3156 0.2566 0.0723
In 0.6844 0.7566 0.9410
In 0.5000 0.4754 0.9754
In 0.0000 0.9754 0.9754
O 0.3811 0.6003 0.4814
O 0.6189 0.1003 0.2191
O 0.6944 0.5883 0.0069
O 0.3056 0.3125 0.8939
O 0.0814 0.0883 0.8939
O 0.9186 0.8125 0.0069
O 0.7462 0.2210 0.9842
O 0.2538 0.2380 0.4748
O 0.2632 0.7380 0.9842
O 0.7368 0.7210 0.4748

Properties
Formation energy from raw total energies = -2.04 eV per atom


No. 4
Here is a relaxed structure of Ba3InO4 from Alexandria via LeMat-Bulk. Energies are from PBE.

Lattice parameters (Å, degrees): 5.7955 7.5396 8.6994 90.00 90.00 90.00
Atoms (fractional coordinates):
Ba 0.5402 0.8618 0.0000
Ba 0.0405 0.6725 0.2508
Ba 0.5405 0.3275 0.2492
Ba 0.0402 0.1382 0.5000
Ba 0.5405 0.3275 0.7508
Ba 0.0405 0.6725 0.7492
In 0.0392 0.1790 0.0000
In 0.5392 0.8210 0.5000
O 0.0609 0.8741 0.0000
O 0.6700 0.1851 0.0000
O 0.0619 0.3202 0.2396
O 0.5619 0.6798 0.2604
O 0.1700 0.8149 0.5000
O 0.5609 0.1259 0.5000
O 0.5619 0.6798 0.7396
O 0.0619 0.3202 0.7604

Properties
Formation energy from raw total energies = -2.09 eV per atom


No. 5
Here is a relaxed structure of BaInO3 from Alexandria via LeMat-Bulk. Energies are from PBE.

Lattice parameters (Å, degrees): 4.5847 4.5847 4.5847 90.00 90.00 90.00
Atoms (fractional coordinates):
Ba 0.0000 0.0000 0.0000
O 0.0000 0.5000 0.0000
O 0.0000 0.0000 0.5000
O 0.5000 0.0000 0.0000
In 0.5000 0.5000 0.5000

Properties
Formation energy from raw total energies = -0.34 eV per atom


No. 6
Here is a relaxed structure of Ba3InO from Alexandria via LeMat-Bulk. Energies are from PBE.

Lattice parameters (Å, degrees): 5.9697 7.1754 9.7846 66.29 72.24 65.42
Atoms (fractional coordinates):
Ba 0.8408 0.6646 0.6538
Ba 0.1592 0.3354 0.3462
Ba 0.6412 0.6313 0.0864
Ba 0.3588 0.3687 0.9136
Ba 0.9069 0.9817 0.2044
Ba 0.0931 0.0183 0.7956
In 0.4030 0.7466 0.4473
In 0.5970 0.2534 0.5527
O 0.1367 0.6625 0.0641
O 0.8633 0.3375 0.9359

Properties
Formation energy from raw total energies = -1.07 eV per atom


No. 7
Here is a relaxed structure of Ba3In4O9 from Alexandria via LeMat-Bulk. Energies are from PBE.

Lattice parameters (Å, degrees): 5.9910 5.9910 8.9712 70.49 70.49 60.00
Atoms (fractional coordinates):
Ba 0.9980 0.9980 0.0060
Ba 0.8365 0.8365 0.4904
Ba 0.4189 0.4189 0.7433
In 0.5764 0.5764 0.2708
In 0.1348 0.1348 0.5956
In 0.2578 0.2578 0.2265
In 0.6992 0.6992 0.9025
O 0.9587 0.4359 0.0802
O 0.5251 0.9587 0.0802
O 0.4359 0.5251 0.0802
O 0.8736 0.3170 0.4192
O 0.3902 0.8736 0.4192
O 0.3170 0.3902 0.4192
O 0.8704 0.4179 0.7484
O 0.4179 0.9633 0.7484
O 0.9633 0.8704 0.7484

Properties
Formation energy from raw total energies = -1.94 eV per atom


No. 8
Here is a relaxed structure of BaInO from Alexandria via LeMat-Bulk. Energies are from PBE.

Lattice parameters (Å, degrees): 3.6853 3.6853 5.8102 90.00 90.00 90.00
Atoms (fractional coordinates):
Ba 0.5000 0.5000 0.4977
In 0.0000 0.0000 0.9973
O 0.0000 0.0000 0.3715

Properties
Formation energy from raw total energies = -1.54 eV per atom
ΔE to the lowest computed polymorph = 0.00 eV per formula unit


No. 9
Here is a relaxed structure of Ba2In2O5 from Alexandria via LeMat-Bulk. Energies are from PBE.

Lattice parameters (Å, degrees): 6.0876 6.0876 10.5643 70.00 70.00 59.68
Atoms (fractional coordinates):
Ba 0.7687 0.2313 0.2500
Ba 0.2313 0.7687 0.7500
Ba 0.5000 0.0000 0.0000
Ba 0.0000 0.5000 0.5000
In 0.9103 0.3679 0.8609
In 0.6321 0.0897 0.6391
In 0.3679 0.9103 0.3609
In 0.0897 0.6321 0.1391
O 0.7499 0.2501 0.7500
O 0.6439 0.7552 0.7959
O 0.2448 0.3561 0.7041
O 0.5000 0.0000 0.5000
O 0.3561 0.2448 0.2041
O 0.7552 0.6439 0.2959
O 0.0000 0.0000 0.5000
O 0.2501 0.7499 0.2500
O 0.0000 0.0000 0.0000
O 0.0000 0.5000 0.0000

Properties
Formation energy from raw total energies = -2.00 eV per atom


No. 10
Here is a relaxed structure of Ba4In2O from Alexandria via LeMat-Bulk. Energies are from PBE.

Lattice parameters (Å, degrees): 9.1923 7.6987 8.5622 90.00 104.59 90.00
Atoms (fractional coordinates):
Ba 0.4295 0.5003 0.2241
Ba 0.0643 0.7500 0.9108
Ba 0.9357 0.2500 0.0892
Ba 0.4295 0.9997 0.2241
Ba 0.8748 0.2500 0.5818
Ba 0.5705 0.0003 0.7759
Ba 0.5705 0.4997 0.7759
Ba 0.1252 0.7500 0.4182
In 0.7580 0.7500 0.1447
In 0.2420 0.2500 0.8553
In 0.2585 0.2500 0.5097
In 0.7415 0.7500 0.4903
O 0.2463 0.7500 0.1830
O 0.7537 0.2500 0.8170

Properties
Formation energy from raw total energies = -0.93 eV per atom
ΔE to the lowest computed polymorph = 0.00 eV per formula unit


No. 11
Here is a relaxed structure of BaInO from Alexandria via LeMat-Bulk. Energies are from PBE.

Lattice parameters (Å, degrees): 3.6786 7.3996 11.6028 90.00 90.00 90.00
Atoms (fractional coordinates):
Ba 0.0000 0.0000 0.2113
Ba 0.0000 0.5000 0.7113
Ba 0.0000 0.0000 0.7237
Ba 0.0000 0.5000 0.2237
O 0.5000 0.2459 0.6552
O 0.5000 0.7541 0.6552
O 0.5000 0.7459 0.1552
O 0.5000 0.2541 0.1552
In 0.5000 0.7320 0.9679
In 0.5000 0.2680 0.9679
In 0.5000 0.2320 0.4679
In 0.5000 0.7680 0.4679

Properties
Formation energy from raw total energies = -1.54 eV per atom
ΔE to the lowest computed polymorph = 0.00 eV per formula unit


No. 12
Here is a relaxed structure of BaInO from Alexandria via LeMat-Bulk. Energies are from PBE.

Lattice parameters (Å, degrees): 4.4982 4.4981 10.4329 89.99 90.01 90.00
Atoms (fractional coordinates):
Ba 0.2500 0.7500 0.3866
Ba 0.7500 0.2500 0.6134
In 0.2500 0.7500 0.9922
In 0.7500 0.2500 0.0078
O 0.7500 0.7500 0.5000
O 0.2500 0.2500 0.5000

Properties
Formation energy from raw total energies = -1.35 eV per atom
ΔE to the lowest computed polymorph = 0.58 eV per formula unit


No. 13
Here is a relaxed structure of Ba6In2O from Alexandria via LeMat-Bulk. Energies are from PBE.

Lattice parameters (Å, degrees): 8.0312 8.1275 11.4354 90.00 90.18 90.00
Atoms (fractional coordinates):
Ba 0.9193 0.0088 0.2625
Ba 0.7275 0.7939 0.5420
Ba 0.7022 0.7719 0.9604
Ba 0.7978 0.2719 0.5396
Ba 0.7725 0.2939 0.9580
Ba 0.5807 0.5088 0.2375
Ba 0.0807 0.9912 0.7375
Ba 0.2725 0.2061 0.4580
Ba 0.2978 0.2281 0.0396
Ba 0.2022 0.7281 0.4604
Ba 0.2275 0.7061 0.0420
Ba 0.4193 0.4912 0.7625
In 0.9858 0.5406 0.7492
In 0.5142 0.0406 0.7508
In 0.4858 0.9594 0.2492
In 0.0142 0.4594 0.2508
O 0.5000 0.5000 0.0000
O 0.0000 0.0000 0.5000

Properties
Formation energy from raw total energies = -0.74 eV per atom
ΔE to the lowest computed polymorph = 0.00 eV per formula unit


No. 14
Here is a relaxed structure of BaInO3 from Alexandria via LeMat-Bulk. Energies are from PBE.

Lattice parameters (Å, degrees): 4.2921 4.2921 4.2921 90.00 90.00 90.00
Atoms (fractional coordinates):
Ba 0.5000 0.5000 0.5000
O 0.0000 0.5000 0.0000
O 0.0000 0.0000 0.5000
O 0.5000 0.0000 0.0000
In 0.0000 0.0000 0.0000

Properties
Formation energy from raw total energies = -1.75 eV per atom


No. 15
Here is a relaxed structure of BaIn2OsO8 from Alexandria via LeMat-Bulk. Energies are from PBE.

Lattice parameters (Å, degrees): 4.9939 4.8099 7.1112 89.78 89.92 90.70
Atoms (fractional coordinates):
Ba 0.0000 0.0000 0.5000
In 0.4999 0.4992 0.7594
In 0.5001 0.5008 0.2406
Os 0.0000 0.0000 0.0000
O 0.1549 0.7772 0.1854
O 0.6885 0.7444 0.9996
O 0.8429 0.2206 0.1842
O 0.8451 0.2228 0.8146
O 0.3115 0.2556 0.0004
O 0.1571 0.7794 0.8158
O 0.5345 0.7459 0.5000
O 0.4655 0.2541 0.5000

Properties
Formation energy from raw total energies = -1.32 eV per atom


No. 16
Here is a relaxed structure of BaInOsO6 from Alexandria via LeMat-Bulk. Energies are from PBE.

Lattice parameters (Å, degrees): 5.5531 5.5531 5.6036 90.00 90.00 60.00
Atoms (fractional coordinates):
Ba 0.0000 0.0000 0.0000
In 0.6666 0.6667 0.5000
Os 0.3333 0.3333 0.5000
O 0.0368 0.3690 0.3028
O 0.3689 0.0368 0.6972
O 0.5942 0.3690 0.6972
O 0.0367 0.5943 0.6972
O 0.3689 0.5943 0.3028
O 0.5943 0.0368 0.3028

Properties
Formation energy from raw total energies = -1.57 eV per atom


No. 17
Here is a relaxed structure of Ba2InOsO6 from Alexandria via LeMat-Bulk. Energies are from PBE.

Lattice parameters (Å, degrees): 5.8966 5.8966 5.8966 60.00 60.00 60.00
Atoms (fractional coordinates):
Os 0.0000 0.0000 0.0000
Ba 0.2500 0.2500 0.2500
Ba 0.7500 0.7500 0.7500
O 0.2392 0.7608 0.7608
O 0.7608 0.2392 0.7608
O 0.2392 0.7608 0.2392
O 0.7608 0.7608 0.2392
O 0.7608 0.2392 0.2392
O 0.2392 0.2392 0.7608
In 0.5000 0.5000 0.5000

Properties
Formation energy from raw total energies = -1.90 eV per atom


No. 18
Here is a relaxed structure of Ba2InOs3O12 from Alexandria via LeMat-Bulk. Energies are from PBE.

Lattice parameters (Å, degrees): 7.2606 7.2606 7.2606 60.08 60.08 60.08
Atoms (fractional coordinates):
Ba 0.6372 0.6372 0.6372
Ba 0.3628 0.3628 0.3628
In 0.0000 0.0000 0.0000
Os 0.5000 0.0000 0.0000
Os 0.0000 0.5000 0.0000
Os 0.0000 0.0000 0.5000
O 0.2978 0.2978 0.9179
O 0.8980 0.8980 0.3731
O 0.3731 0.8980 0.8980
O 0.9179 0.2978 0.2978
O 0.8980 0.3731 0.8980
O 0.2978 0.9179 0.2978
O 0.7022 0.7022 0.0821
O 0.1020 0.1020 0.6269
O 0.6269 0.1020 0.1020
O 0.0821 0.7022 0.7022
O 0.1020 0.6269 0.1020
O 0.7022 0.0821 0.7022

Properties
Formation energy from raw total energies = -1.47 eV per atom


No. 19
Here is a relaxed structure of BaInPO2 from Alexandria via LeMat-Bulk. Energies are from PBE.

Lattice parameters (Å, degrees): 4.4621 4.4621 5.0178 90.00 90.00 90.00
Atoms (fractional coordinates):
P 0.0000 0.0000 0.5000
Ba 0.5000 0.5000 0.5000
O 0.0000 0.5000 0.0000
O 0.5000 0.0000 0.0000
In 0.0000 0.0000 0.0000

Properties
Formation energy from raw total energies = -0.83 eV per atom
ΔE to the lowest computed polymorph = 0.00 eV per formula unit


No. 20
Here is a relaxed structure of BaIn2P4O14 from Alexandria via LeMat-Bulk. Energies are from PBE.

Lattice parameters (Å, degrees): 7.7552 7.7552 10.0907 80.25 80.25 88.90
Atoms (fractional coordinates):
Ba 0.5000 0.0000 0.0000
Ba 0.0000 0.5000 0.5000
In 0.4494 0.5506 0.7500
In 0.5506 0.4494 0.2500
In 0.0000 0.0000 0.0000
In 0.0000 0.0000 0.5000
P 0.6324 0.2527 0.5584
P 0.7473 0.3676 0.9416
P 0.3676 0.7473 0.4416
P 0.2527 0.6324 0.0584
P 0.2680 0.1810 0.7010
P 0.8190 0.7320 0.7990
P 0.7320 0.8190 0.2990
P 0.1810 0.2680 0.2010
O 0.4759 0.1391 0.6606
O 0.8609 0.5241 0.8394
O 0.5241 0.8609 0.3394
O 0.1391 0.4759 0.1606
O 0.8009 0.1597 0.5899
O 0.8403 0.1991 0.9101
O 0.1991 0.8403 0.4101
O 0.1597 0.8009 0.0899
O 0.1695 0.1494 0.5891
O 0.8506 0.8305 0.9109
O 0.8305 0.8506 0.4109
O 0.1494 0.1695 0.0891
O 0.2241 0.0533 0.8360
O 0.9467 0.7759 0.6640
O 0.7759 0.9467 0.1640
O 0.0533 0.2241 0.3360
O 0.2534 0.3757 0.7125
O 0.6243 0.7466 0.7875
O 0.7466 0.6243 0.2875
O 0.3757 0.2534 0.2125
O 0.5642 0.3626 0.9013
O 0.6374 0.4358 0.5987
O 0.4358 0.6374 0.0987
O 0.3626 0.5642 0.4013
O 0.2548 0.6075 0.9122
O 0.3925 0.7452 0.5878
O 0.7452 0.3925 0.0878
O 0.6075 0.2548 0.4122

Properties
Formation energy from raw total energies = -2.25 eV per atom